Record 1
Below is a geometry-optimized Tb4Nd10Er structure, with properties calculated at the PBE level.

## Properties
The calculation puts the raw total energy at -120.8 eV for the cell shown.

```
data_Tb4Nd10Er
_cell_length_a 12.384
_cell_length_b 12.384
_cell_length_c 7.818
_cell_angle_alpha 90.00
_cell_angle_beta 90.00
_cell_angle_gamma 90.00
_space_group_name_H-M_alt 'I 4/m'
_space_group_IT_number 87
_space_group_name_Hall '-I 4'
loop_
_atom_site_label
_atom_site_fract_x
_atom_site_fract_y
_atom_site_fract_z
Tb1 0.100 0.299 0.000
Nd1 0.000 0.500 0.250
Nd2 0.099 0.800 0.251
Er1 0.000 0.000 0.500
```



Record 2
Below is a geometry-optimized Tb2NdEr9 structure, with properties calculated at the PBE level.

## Properties
The calculation puts the energy above the most stable polymorph in this dataset at 2.08 kJ/mol of atoms.

```
data_Tb2NdEr9
_cell_length_a 11.1517
_cell_length_b 11.1517
_cell_length_c 3.4976
_cell_angle_alpha 90.00
_cell_angle_beta 90.00
_cell_angle_gamma 120.00
_space_group_name_H-M_alt 'P 6/m m m'
_space_group_IT_number 191
_space_group_name_Hall '-P 6 2'
loop_
_atom_site_label
_atom_site_fract_x
_atom_site_fract_y
_atom_site_fract_z
Tb1 0.3333 0.6667 0.0000
Nd1 0.0000 0.0000 0.0000
Er1 0.0000 0.5000 0.0000
Er2 0.1779 0.3557 0.5000
```